Record 1
First-principles (PBE) data for crystalline SbRhPb at its relaxed geometry, as listed in Alexandria.

abc: 3.3154 3.3154 12.8918
angles: 90.00 90.00 90.00
Closest atoms and distances in Å follow each position.
Space group I4mm (No. 107)
Inequivalent atoms, fractional coordinates:
Sb 0.0000 0.0000 0.0000 [2 per cell]  4 Rh 2.73
Rh 0.0000 0.0000 0.6080 [2 per cell]  4 Sb 2.73
Pb 0.0000 0.0000 0.2621 [2 per cell]  4 Rh 3.07, 4 Pb 3.32, 1 Sb 3.38

Magnetization ... 0.00 μB per cell
E_form (uncorrected) ... -3.6 kcal/mol of atoms
E ... -31.306 eV per cell
DOS(E_F) ... 0.8714 states/eV per atom

=====

Record 2
First-principles (PBE) data for crystalline Pr2YBr at its relaxed geometry, as listed in Alexandria.

abc: 3.7389 3.7389 32.1445
angles: 90.00 90.00 120.00
Closest atoms and distances in Å follow each position.
Space group R-3m (No. 166, hexagonal axes)
Inequivalent atoms, fractional coordinates:
Pr 0.0000 0.0000 0.2425 [6 per cell]  3 Br 3.26, 3 Y 3.63
Y 0.0000 0.0000 0.0000 [3 per cell]  6 Pr 3.63, 6 Y 3.74
Br 0.0000 0.0000 0.5000 [3 per cell]  6 Pr 3.26

Magnetization ... 0.00 μB per cell
E_form (uncorrected) ... -12.7 kcal/mol of atoms
E ... -59.708 eV per cell
DOS(E_F) ... 1.0567 states/eV per atom

=====

Record 3
First-principles (PBE) data for crystalline VTcOs2 at its relaxed geometry, as listed in Alexandria.

abc: 6.1219 6.1219 6.1219
angles: 90.00 90.00 90.00
Closest atoms and distances in Å follow each position.
Space group Fm-3m (No. 225)
Inequivalent atoms, fractional coordinates:
V 0.0000 0.0000 0.0000 [4 per cell]  8 Os 2.65
Tc 0.0000 0.0000 0.5000 [4 per cell]  8 Os 2.65
Os 0.2500 0.2500 0.2500 [8 per cell]  4 Tc 2.65, 4 V 2.65

Magnetization ... 0.00 μB per cell
E ... -164.340 eV per cell
DOS(E_F) ... 1.7081 states/eV per atom

=====

Record 4
First-principles (PBE) data for crystalline BiAuS2 at its relaxed geometry, as listed in Alexandria.

abc: 7.5559 9.8696 6.2085
angles: 90.00 90.00 90.00
Closest atoms and distances in Å follow each position.
Space group Pna2_1 (No. 33)
Inequivalent atoms, fractional coordinates:
Bi 0.1593 0.1020 0.0000 [4 per cell]  2 S 2.57-2.65, 1 Au 2.82
Au 0.1793 0.5444 0.1011 [4 per cell]  3 S 2.34-2.50
S 0.0311 0.1137 0.4969 [4 per cell]  1 Au 2.38, 1 Bi 2.57
S 0.1112 0.4602 0.7308 [4 per cell]  2 Au 2.34-2.50

Magnetization ... 0.00 μB per cell
E_form (uncorrected) ... -3.0 kcal/mol of atoms
E ... -63.725 eV per cell
DOS(E_F) ... 0.0000 states/eV per atom

=====

Record 5
First-principles (PBE) data for crystalline Tb4Hg5Pd2 at its relaxed geometry, as listed in Alexandria.

abc: 7.6833 3.6046 9.6650
angles: 90.00 93.67 90.00
Closest atoms and distances in Å follow each position.
Space group P2/m (No. 10)
Inequivalent atoms, fractional coordinates:
Tb 0.1798 0.0000 0.3558 [2 per cell]  2 Pd 2.87
Tb 0.2340 0.0000 0.9366 [2 per cell]  4 Pd 2.97-3.00, 4 Hg 3.25-3.29
Hg 0.1697 0.5000 0.6433 [2 per cell]  1 Pd 2.91, 1 Hg 2.97, 2 Tb 3.23
Hg 0.4510 0.5000 0.1738 [2 per cell]  1 Pd 2.92, 1 Hg 3.15, 2 Tb 3.25
Hg 0.5000 0.5000 0.5000 [1 per cell]  4 Hg 2.97-3.15, 4 Tb 3.29
Pd 0.0706 0.5000 0.1357 [2 per cell]  1 Pd 2.77, 6 Tb 2.87-3.00, 2 Hg 2.91-2.92

Magnetization ... 0.00 μB per cell
E ... -36.833 eV per cell
DOS(E_F) ... 0.6835 states/eV per atom

=====

Record 6
First-principles (PBE) data for crystalline TbNd3Sc at its relaxed geometry, as listed in Alexandria.

abc: 3.5228 8.4065 11.7218
angles: 73.12 81.36 77.91
Closest atoms and distances in Å follow each position.
Space group P-1 (No. 2)
Inequivalent atoms, fractional coordinates:
Tb 0.1259 0.4935 0.2569 [2 per cell]  9 Nd 3.51-3.81, 2 Tb 3.52, 2 Sc 3.66
Nd 0.1689 0.7102 0.9512 [2 per cell]  5 Nd 3.41-3.77, 4 Sc 3.51-3.60, 3 Tb 3.51-3.73
Nd 0.2105 0.9208 0.6547 [2 per cell]  6 Nd 3.39-3.52, 2 Sc 3.55, 2 Tb 3.72-3.73
Nd 0.4283 0.6985 0.4465 [2 per cell]  6 Nd 3.17-3.52, 1 Sc 3.42
Sc 0.4807 0.8948 0.1461 [2 per cell]  3 Sc 3.36-3.52, 7 Nd 3.42-3.60, 2 Tb 3.66

Magnetization ... 0.00 μB per cell
E ... -49.755 eV per cell
DOS(E_F) ... 1.6163 states/eV per atom